(1)
A relaxed structure of Sr2MoW. Source: Alexandria via LeMat-Bulk, functional PBE-GGA.

```
4
Lattice="5.3813 0.0000 0.0000 0.0000 5.3813 0.0000 0.0000 0.0000 3.8366" Properties=species:S:1:pos:R:3 pbc="T T T"
Sr 0.0000 2.6907 0.0000
Sr 2.6907 0.0000 0.0000
Mo 0.0000 0.0000 1.9183
W 2.6907 2.6907 1.9183
```

Results
Density ... 6.8 g/cm³
Total magnetic moment ... 6.23 μB/f.u.
Energy ... -5.03 eV per atom
SG ... P4/mmm (123)
Excess energy over the best structure of this formula in the dataset ... 26.57 kcal/mol of atoms


(2)
A relaxed structure of SrMoW4. Source: Alexandria via LeMat-Bulk, functional PBE-GGA.

```
6
Lattice="0.0000 3.8452 3.8452 3.8452 0.0000 3.8452 3.8452 3.8452 0.0000" Properties=species:S:1:pos:R:3 pbc="T T T"
Sr 0.0000 0.0000 0.0000
Mo 1.9226 1.9226 1.9226
W 4.8065 2.8839 2.8839
W 2.8839 4.8065 2.8839
W 2.8839 2.8839 4.8065
W 4.8065 4.8065 4.8065
```

Results
Density ... 13.4 g/cm³
Total magnetic moment ... 0.00 μB/f.u.
Energy ... -10.01 eV per atom
SG ... F-43m (216)